Here is Sb2AuBr after structural relaxation from Alexandria via LeMat-Bulk. Energies are from PBEsol. Values from VASP.

Geometry as Quantum ESPRESSO input:
```
&SYSTEM
  ibrav = 0, nat = 4, ntyp = 3
/
ATOMIC_SPECIES
Au 196.97 Au.upf
Br 79.90 Br.upf
Sb 121.76 Sb.upf
CELL_PARAMETERS angstrom
-3.9068 0.9125 -1.2046
-1.3661 -1.6392 -3.6047
-3.6081 -5.8226 2.3708
ATOMIC_POSITIONS crystal
Au 0.0000 0.0000 0.5000
Br 0.5000 0.5000 0.0000
Sb 0.6889 0.6889 0.3217
Sb 0.3111 0.3111 0.6783
```

**E above lowest polymorph**: 0.0 meV/atom
**Formation energy from raw total energies**: -0.18 eV/atom
**E_tot**: -3.9103 eV per atom



Here is SbAu2Br after structural relaxation from Alexandria via LeMat-Bulk. Energies are from PBEsol. Values from VASP.

Geometry as Quantum ESPRESSO input:
```
&SYSTEM
  ibrav = 0, nat = 4, ntyp = 3
/
ATOMIC_SPECIES
Sb 121.76 Sb.upf
Br 79.90 Br.upf
Au 196.97 Au.upf
CELL_PARAMETERS angstrom
-3.6505 2.3175 1.4621
-0.9467 -4.4497 -2.4355
-1.1862 -3.5320 2.6368
ATOMIC_POSITIONS crystal
Sb 0.7500 0.5000 0.7500
Br 0.5000 0.0000 0.5000
Au 0.2500 0.5000 0.2500
Au 0.0000 0.0000 0.0000
```

**E above lowest polymorph**: 341.2 meV/atom
**Formation energy from raw total energies**: 0.32 eV/atom
**E_tot**: -3.2511 eV per atom



Here is Sb2AuBr after structural relaxation from Alexandria via LeMat-Bulk. Energies are from PBEsol. Values from VASP.

Geometry as Quantum ESPRESSO input:
```
&SYSTEM
  ibrav = 0, nat = 4, ntyp = 3
/
ATOMIC_SPECIES
Au 196.97 Au.upf
Sb 121.76 Sb.upf
Br 79.90 Br.upf
CELL_PARAMETERS angstrom
-4.1244 1.5920 2.4014
-0.0284 0.3008 5.0220
-0.0214 4.4996 2.2504
ATOMIC_POSITIONS crystal
Au 0.5000 0.5000 0.5000
Sb 0.2500 0.2500 0.2500
Sb 0.7500 0.7500 0.7500
Br 0.0000 0.0000 0.0000
```

**E above lowest polymorph**: 339.1 meV/atom
**Formation energy from raw total energies**: 0.16 eV/atom
**E_tot**: -3.5713 eV per atom